(1)
The following is a PBE-GGA calculation of a geometry-optimized SmYHf structure, from Alexandria via LeMat-Bulk.

Output
Energy relative to the lowest polymorph listed for this composition: 35.8 meV/atom

Unit cell a=3.416 b=3.416 c=8.491 alpha=90.00 beta=90.00 gamma=120.00
Fractional positions:
Y (0.333, 0.667, 0.645)
Hf (0.667, 0.333, 0.334)
Sm (0.000, 0.000, 0.021)



(2)
The following is a PBE-GGA calculation of a geometry-optimized Sm2YHf structure, from Alexandria via LeMat-Bulk.

Output
Energy relative to the lowest polymorph listed for this composition: 63.6 meV/atom

Unit cell a=4.025 b=4.025 c=7.357 alpha=90.00 beta=90.00 gamma=90.00
Fractional positions:
Y (0.500, 0.500, 0.500)
Hf (0.500, 0.500, 0.000)
Sm (0.000, 0.000, 0.778)
Sm (0.000, 0.000, 0.222)



(3)
The following is a PBE-GGA calculation of a geometry-optimized Sm2HfZn structure, from Alexandria via LeMat-Bulk.

Output
Energy relative to the lowest polymorph listed for this composition: 387.5 meV/atom

Unit cell a=3.267 b=3.267 c=11.606 alpha=81.91 beta=81.91 gamma=60.00
Fractional positions:
Zn (0.500, 0.500, 0.500)
Hf (0.000, 0.000, 0.000)
Sm (0.095, 0.095, 0.716)
Sm (0.905, 0.905, 0.284)



(4)
The following is a PBE-GGA calculation of a geometry-optimized SmHf2Zn9 structure, from Alexandria via LeMat-Bulk.

Unit cell a=5.289 b=5.289 c=8.936 alpha=72.79 beta=72.79 gamma=60.00
Last column: magnetic moment on the atom in μB.
Fractional positions:
Sm (0.000, 0.000, 0.000)  0.05
Hf (0.855, 0.855, 0.434)  0.41
Hf (0.145, 0.145, 0.566)  0.41
Zn (0.664, 0.664, 0.007)  0.01
Zn (0.336, 0.336, 0.993)  0.01
Zn (0.500, 0.500, 0.500)  0.00
Zn (0.410, 0.410, 0.258)  0.02
Zn (0.922, 0.410, 0.258)  0.02
Zn (0.410, 0.922, 0.258)  0.02
Zn (0.590, 0.590, 0.742)  0.02
Zn (0.590, 0.078, 0.742)  0.02
Zn (0.078, 0.590, 0.742)  0.02



(5)
The following is a PBE-GGA calculation of a geometry-optimized Sm2HfZn structure, from Alexandria via LeMat-Bulk.

Output
Energy relative to the lowest polymorph listed for this composition: 0.0 meV/atom

Unit cell a=3.428 b=3.428 c=8.755 alpha=90.00 beta=90.00 gamma=90.00
Fractional positions:
Zn (0.500, 0.500, 0.000)
Hf (0.500, 0.500, 0.500)
Sm (0.000, 0.000, 0.768)
Sm (0.000, 0.000, 0.232)



(6)
The following is a PBE-GGA calculation of a geometry-optimized SmHfZn structure, from Alexandria via LeMat-Bulk.

Output
Energy relative to the lowest polymorph listed for this composition: 0.0 meV/atom

Unit cell a=3.355 b=3.355 c=6.595 alpha=104.74 beta=104.74 gamma=90.00
Fractional positions:
Zn (0.682, 0.682, 0.364)
Hf (0.314, 0.314, 0.628)
Sm (0.004, 0.004, 0.008)



Number 1: formation energy from the elements 156 meV per atom, DFT total energy -0.253 Ha/atom, size of the total moment 0.000 μB/cell. Number 2: formation energy from the elements 214 meV per atom, DFT total energy -0.230 Ha/atom, size of the total moment 0.000 μB/cell. Number 3: formation energy from the elements 350 meV per atom, DFT total energy -0.177 Ha/atom, size of the total moment 0.000 μB/cell. Number 4: formation energy from the elements -254 meV per atom, DFT total energy -0.120 Ha/atom, size of the total moment 1.548 μB/cell. Number 5: formation energy from the elements -38 meV per atom, DFT total energy -0.191 Ha/atom, size of the total moment 0.000 μB/cell. Number 6: formation energy from the elements -81 meV per atom, DFT total energy -0.198 Ha/atom, size of the total moment 0.000 μB/cell.